# 1
Below is a geometry-optimized Pa2Zn3Ge structure, with properties calculated at the PBE level.

The calculation puts the formation energy at -0.1566 eV/atom. The offset from the most stable computed form comes out at 0.027 eV per atom.

Lattice parameters (Å, degrees): 3.6587 4.3504 7.5275 90.00 90.00 90.00
Fractional coordinates of all 6 atoms:
Pa 0.0000 0.0000 0.0000
Pa 0.0000 0.5000 0.4931
Zn 0.5000 0.0000 0.6672
Zn 0.5000 0.5000 0.1585
Zn 0.5000 0.5000 0.8272
Ge 0.5000 0.0000 0.3326

***

# 2
Below is a geometry-optimized Pa2ZnGe structure, with properties calculated at the PBE level.

The calculation puts the formation energy at -0.2067 eV/atom. The offset from the most stable computed form comes out at 0.000 eV per atom.

Lattice parameters (Å, degrees): 6.1468 6.1468 6.1468 118.37 93.76 117.34
Fractional coordinates of all 8 atoms:
Pa 0.2705 0.0000 0.7705
Pa 0.2705 0.5000 0.2705
Pa 0.7295 0.0000 0.2295
Pa 0.7295 0.5000 0.7295
Zn 0.2123 0.4623 0.7500
Zn 0.7877 0.5377 0.2500
Ge 0.2161 0.9661 0.2500
Ge 0.7839 0.0339 0.7500

***

What did the first record say?
Below is a geometry-optimized Pa2Zn3Ge structure, with properties calculated at the PBE level.

The calculation puts the formation energy at -0.1566 eV/atom. The offset from the most stable computed form comes out at 0.027 eV per atom.

Lattice parameters (Å, degrees): 3.6587 4.3504 7.5275 90.00 90.00 90.00
Fractional coordinates of all 6 atoms:
Pa 0.0000 0.0000 0.0000
Pa 0.0000 0.5000 0.4931
Zn 0.5000 0.0000 0.6672
Zn 0.5000 0.5000 0.1585
Zn 0.5000 0.5000 0.8272
Ge 0.5000 0.0000 0.3326

***

Repeat the second record exactly.
Below is a geometry-optimized Pa2ZnGe structure, with properties calculated at the PBE level.

The calculation puts the formation energy at -0.2067 eV/atom. The offset from the most stable computed form comes out at 0.000 eV per atom.

Lattice parameters (Å, degrees): 6.1468 6.1468 6.1468 118.37 93.76 117.34
Fractional coordinates of all 8 atoms:
Pa 0.2705 0.0000 0.7705
Pa 0.2705 0.5000 0.2705
Pa 0.7295 0.0000 0.2295
Pa 0.7295 0.5000 0.7295
Zn 0.2123 0.4623 0.7500
Zn 0.7877 0.5377 0.2500
Ge 0.2161 0.9661 0.2500
Ge 0.7839 0.0339 0.7500